# 1
TbTl3B2O6 | PBE | optimized geometry

```
12
Lattice="5.5344 0.0000 0.0000 -2.7672 4.7929 0.0000 0.0000 0.0000 7.5084" Properties=species:S:1:pos:R:3 pbc="T T T"
Tl 2.7672 1.5976 1.5890
Tl 0.0000 0.0000 0.0000
Tl 0.0000 3.1953 5.9194
O 0.0000 1.8052 2.3589
O 1.5634 0.9026 5.1495
O 2.7672 2.9877 5.1495
O 1.2038 3.8903 2.3589
O -1.2038 3.8903 2.3589
O 3.9710 0.9026 5.1495
B 2.7672 1.5976 5.1454
B 0.0000 3.1953 2.3630
Tb 0.0000 0.0000 3.7542
```

Calculated values
The value obtained for the formation energy without anion corrections is -2.05 eV per atom. The calculation puts the density of states at the Fermi level at 0.00 states/eV per cell.

=====

# 2
CaCdS3 | PBE | optimized geometry

```
5
Lattice="4.9688 0.0000 0.0000 0.0000 4.9688 0.0000 0.0000 0.0000 4.9688" Properties=species:S:1:pos:R:3 pbc="T T T"
S 0.0000 2.4844 0.0000
S 2.4844 0.0000 0.0000
S 0.0000 0.0000 2.4844
Ca 2.4844 2.4844 2.4844
Cd 0.0000 0.0000 0.0000
```

Calculated values
The value obtained for the formation energy without anion corrections is -0.33 eV per atom. For the offset from the most stable computed form, the calculation gives 0 meV per atom. The calculation puts the density of states at the Fermi level at 4.01 states/eV per cell.

=====

- Which value of formation energy without anion corrections does entry 2 give?
  -0.33 eV per atom